Entry 1:
## SmYNCl3 (PBE)

Data for SmYNCl3 after structural relaxation.

CIF file:
```
data_SmYNCl3
_chemical_formula_sum 'Sm4 Y4 N4 Cl12'
_symmetry_space_group_name_H-M 'C 1 2/m 1'
_symmetry_Int_Tables_number 12
_symmetry_space_group_name_Hall '-C 2y'
_cell_length_a 15.998
_cell_length_b 3.889
_cell_length_c 10.583
_cell_angle_alpha 90.00
_cell_angle_beta 120.10
_cell_angle_gamma 90.00
loop_
_atom_site_label
_atom_site_fract_x
_atom_site_fract_y
_atom_site_fract_z
Sm1 0.089 0.000 0.451
Y1 0.137 0.500 0.794
N1 0.077 0.000 0.659
Cl1 0.047 0.500 0.238
Cl2 0.165 0.000 0.015
Cl3 0.228 0.500 0.618
```

Calculated values
relative energy among the computed polymorphs: 19 meV/atom


Entry 2:
## CuIrPbW (PBE)

Data for CuIrPbW after structural relaxation.

CIF file:
```
data_CuIrPbW
_chemical_formula_sum 'Cu4 Ir4 Pb4 W4'
_symmetry_space_group_name_H-M 'F -4 3 m'
_symmetry_Int_Tables_number 216
_symmetry_space_group_name_Hall 'F -4 2 3'
_cell_length_a 6.456
_cell_length_b 6.456
_cell_length_c 6.456
_cell_angle_alpha 90.00
_cell_angle_beta 90.00
_cell_angle_gamma 90.00
loop_
_atom_site_label
_atom_site_fract_x
_atom_site_fract_y
_atom_site_fract_z
Cu1 0.000 0.000 0.000
Ir1 0.250 0.250 0.250
Pb1 0.250 0.250 0.750
W1 0.000 0.000 0.500
```

Calculated values
relative energy among the computed polymorphs: 0 meV/atom


Entry 3:
## LuScPbC (PBE)

Data for LuScPbC after structural relaxation.

CIF file:
```
data_LuScPbC
_chemical_formula_sum 'Lu2 Sc2 Pb2 C2'
_symmetry_space_group_name_H-M 'P -6 m 2'
_symmetry_Int_Tables_number 187
_symmetry_space_group_name_Hall 'P -6 2'
_cell_length_a 3.4834
_cell_length_b 3.4834
_cell_length_c 15.4286
_cell_angle_alpha 90.00
_cell_angle_beta 90.00
_cell_angle_gamma 120.00
loop_
_atom_site_label
_atom_site_fract_x
_atom_site_fract_y
_atom_site_fract_z
Lu1 0.0000 0.0000 0.1717
Sc1 0.3333 0.6667 0.3323
Pb1 0.0000 0.0000 0.5000
Pb2 0.3333 0.6667 0.0000
C1 0.6667 0.3333 0.2551
```

Calculated values
relative energy among the computed polymorphs: 1 meV/atom


Entry 4:
## NbCdCuBi (PBE)

Data for NbCdCuBi after structural relaxation.

CIF file:
```
data_NbCdCuBi
_chemical_formula_sum 'Nb4 Cd4 Cu4 Bi4'
_symmetry_space_group_name_H-M 'F -4 3 m'
_symmetry_Int_Tables_number 216
_symmetry_space_group_name_Hall 'F -4 2 3'
_cell_length_a 6.864
_cell_length_b 6.864
_cell_length_c 6.864
_cell_angle_alpha 90.00
_cell_angle_beta 90.00
_cell_angle_gamma 90.00
loop_
_atom_site_label
_atom_site_fract_x
_atom_site_fract_y
_atom_site_fract_z
Nb1 0.000 0.000 0.000
Cd1 0.250 0.250 0.750
Cu1 0.000 0.000 0.500
Bi1 0.250 0.250 0.250
```

Calculated values
relative energy among the computed polymorphs: 0 meV/atom


Entry 5:
## Pm2TcIr (PBE)

Data for Pm2TcIr after structural relaxation.

CIF file:
```
data_Pm2TcIr
_chemical_formula_sum 'Pm2 Tc1 Ir1'
_symmetry_space_group_name_H-M 'P 4/m m m'
_symmetry_Int_Tables_number 123
_symmetry_space_group_name_Hall '-P 4 2'
_cell_length_a 3.207
_cell_length_b 3.207
_cell_length_c 9.217
_cell_angle_alpha 90.00
_cell_angle_beta 90.00
_cell_angle_gamma 90.00
loop_
_atom_site_label
_atom_site_fract_x
_atom_site_fract_y
_atom_site_fract_z
Pm1 0.000 0.000 0.208
Tc1 0.500 0.500 0.000
Ir1 0.000 0.000 0.500
```

Calculated values
total energy: -6.563 eV/atom


Entry 6:
## Cu2Ag3 (PBE)

Data for Cu2Ag3 after structural relaxation.

CIF file:
```
data_Cu2Ag3
_chemical_formula_sum 'Cu8 Ag12'
_symmetry_space_group_name_H-M 'C 1 m 1'
_symmetry_Int_Tables_number 8
_symmetry_space_group_name_Hall 'C -2y'
_cell_length_a 22.847
_cell_length_b 2.865
_cell_length_c 4.799
_cell_angle_alpha 90.00
_cell_angle_beta 95.66
_cell_angle_gamma 90.00
loop_
_atom_site_label
_atom_site_fract_x
_atom_site_fract_y
_atom_site_fract_z
Cu1 0.000 0.000 0.000
Cu2 0.094 0.500 0.191
Cu3 0.301 0.500 0.594
Cu4 0.399 0.500 0.295
Ag1 0.095 0.000 0.701
Ag2 0.198 0.000 0.395
Ag3 0.199 0.500 0.896
Ag4 0.303 0.000 0.107
Ag5 0.400 0.000 0.795
Ag6 0.495 0.000 0.476
```

Calculated values
relative energy among the computed polymorphs: 65 meV/atom


Entry 7:
## LaPrNd2Se3O4 (PBE)

Data for LaPrNd2Se3O4 after structural relaxation.

CIF file:
```
data_LaPrNd2Se3O4
_chemical_formula_sum 'La2 Pr2 Nd4 Se6 O8'
_symmetry_space_group_name_H-M 'A m m 2'
_symmetry_Int_Tables_number 38
_symmetry_space_group_name_Hall 'A 2 -2'
_cell_length_a 8.469
_cell_length_b 4.044
_cell_length_c 13.010
_cell_angle_alpha 90.00
_cell_angle_beta 90.00
_cell_angle_gamma 90.00
loop_
_atom_site_label
_atom_site_fract_x
_atom_site_fract_y
_atom_site_fract_z
La1 0.000 0.000 0.000
Pr1 0.500 0.000 0.983
Nd1 0.263 0.000 0.668
Se1 0.150 0.000 0.337
Se2 0.500 0.000 0.296
O1 0.000 0.000 0.600
O2 0.257 0.000 0.072
O3 0.500 0.000 0.572
```

Calculated values
relative energy among the computed polymorphs: 4 meV/atom


Entry 8:
## ErTmMg2Ge2 (PBE)

Data for ErTmMg2Ge2 after structural relaxation.

CIF file:
```
data_ErTmMg2Ge2
_chemical_formula_sum 'Er2 Tm2 Mg4 Ge4'
_symmetry_space_group_name_H-M 'I 4 m m'
_symmetry_Int_Tables_number 107
_symmetry_space_group_name_Hall 'I 4 -2'
_cell_length_a 4.148
_cell_length_b 4.148
_cell_length_c 15.164
_cell_angle_alpha 90.00
_cell_angle_beta 90.00
_cell_angle_gamma 90.00
loop_
_atom_site_label
_atom_site_fract_x
_atom_site_fract_y
_atom_site_fract_z
Er1 0.000 0.000 0.000
Tm1 0.000 0.000 0.659
Mg1 0.000 0.500 0.329
Ge1 0.000 0.000 0.193
Ge2 0.000 0.000 0.466
```

Calculated values
total energy: -4.203 eV/atom


Entry 9:
## BaLiSnAu (PBE)

Data for BaLiSnAu after structural relaxation.

CIF file:
```
data_BaLiSnAu
_chemical_formula_sum 'Ba4 Li4 Sn4 Au4'
_symmetry_space_group_name_H-M 'F -4 3 m'
_symmetry_Int_Tables_number 216
_symmetry_space_group_name_Hall 'F -4 2 3'
_cell_length_a 7.679
_cell_length_b 7.679
_cell_length_c 7.679
_cell_angle_alpha 90.00
_cell_angle_beta 90.00
_cell_angle_gamma 90.00
loop_
_atom_site_label
_atom_site_fract_x
_atom_site_fract_y
_atom_site_fract_z
Ba1 0.000 0.000 0.000
Li1 0.000 0.000 0.500
Sn1 0.250 0.250 0.750
Au1 0.250 0.250 0.250
```

Calculated values
relative energy among the computed polymorphs: 148 meV/atom


Entry 10:
## Zr3PtSe (PBE)

Data for Zr3PtSe after structural relaxation.

CIF file:
```
data_Zr3PtSe
_chemical_formula_sum 'Zr12 Pt4 Se4'
_symmetry_space_group_name_H-M 'C m c m'
_symmetry_Int_Tables_number 63
_symmetry_space_group_name_Hall '-C 2c 2'
_cell_length_a 3.610
_cell_length_b 12.098
_cell_length_c 9.688
_cell_angle_alpha 90.00
_cell_angle_beta 90.00
_cell_angle_gamma 90.00
loop_
_atom_site_label
_atom_site_fract_x
_atom_site_fract_y
_atom_site_fract_z
Zr1 0.000 0.074 0.250
Zr2 0.000 0.344 0.072
Pt1 0.000 0.255 0.750
Se1 0.000 0.000 0.000
```

Calculated values
total energy: -7.927 eV/atom


Entry 11:
## TmAuNO (PBE)

Data for TmAuNO after structural relaxation.

CIF file:
```
data_TmAuNO
_chemical_formula_sum 'Tm4 Au4 N4 O4'
_symmetry_space_group_name_H-M 'P b c m'
_symmetry_Int_Tables_number 57
_symmetry_space_group_name_Hall '-P 2c 2b'
_cell_length_a 7.057
_cell_length_b 6.963
_cell_length_c 4.808
_cell_angle_alpha 90.00
_cell_angle_beta 90.00
_cell_angle_gamma 90.00
loop_
_atom_site_label
_atom_site_fract_x
_atom_site_fract_y
_atom_site_fract_z
Tm1 0.155 0.081 0.250
Au1 0.296 0.643 0.250
N1 0.122 0.097 0.750
O1 0.417 0.585 0.750
```

Calculated values
relative energy among the computed polymorphs: 378 meV/atom


Entry 12:
## LuAl2 (PBE)

Data for LuAl2 after structural relaxation.

CIF file:
```
data_LuAl2
_chemical_formula_sum 'Lu2 Al4'
_symmetry_space_group_name_H-M 'P 42/m n m'
_symmetry_Int_Tables_number 136
_symmetry_space_group_name_Hall '-P 4n 2n'
_cell_length_a 5.720
_cell_length_b 5.720
_cell_length_c 5.459
_cell_angle_alpha 90.00
_cell_angle_beta 90.00
_cell_angle_gamma 90.00
loop_
_atom_site_label
_atom_site_fract_x
_atom_site_fract_y
_atom_site_fract_z
Lu1 0.000 0.000 0.000
Al1 0.154 0.154 0.500
```

Calculated values
total energy: -3.401 eV/atom


Entry 13:
## Ni2W3 (PBE)

Data for Ni2W3 after structural relaxation.

CIF file:
```
data_Ni2W3
_chemical_formula_sum 'Ni12 W18'
_symmetry_space_group_name_H-M 'P 42/m n m'
_symmetry_Int_Tables_number 136
_symmetry_space_group_name_Hall '-P 4n 2n'
_cell_length_a 9.393
_cell_length_b 9.393
_cell_length_c 4.931
_cell_angle_alpha 90.00
_cell_angle_beta 90.00
_cell_angle_gamma 90.00
loop_
_atom_site_label
_atom_site_fract_x
_atom_site_fract_y
_atom_site_fract_z
Ni1 0.092 0.092 0.000
Ni2 0.180 0.820 0.251
W1 0.000 0.000 0.500
W2 0.040 0.354 0.000
W3 0.065 0.268 0.500
```

Calculated values
relative energy among the computed polymorphs: 0 meV/atom


Entry 14:
## BeInCoSi (PBE)

Data for BeInCoSi after structural relaxation.

CIF file:
```
data_BeInCoSi
_chemical_formula_sum 'Be4 In4 Co4 Si4'
_symmetry_space_group_name_H-M 'F -4 3 m'
_symmetry_Int_Tables_number 216
_symmetry_space_group_name_Hall 'F -4 2 3'
_cell_length_a 6.016
_cell_length_b 6.016
_cell_length_c 6.016
_cell_angle_alpha 90.00
_cell_angle_beta 90.00
_cell_angle_gamma 90.00
loop_
_atom_site_label
_atom_site_fract_x
_atom_site_fract_y
_atom_site_fract_z
Be1 0.000 0.000 0.000
In1 0.250 0.250 0.750
Co1 0.250 0.250 0.250
Si1 0.000 0.000 0.500
```

Calculated values
relative energy among the computed polymorphs: 113 meV/atom


Entry 15:
## TaInGe (PBE)

Data for TaInGe after structural relaxation.

CIF file:
```
data_TaInGe
_chemical_formula_sum 'Ta4 In4 Ge4'
_symmetry_space_group_name_H-M 'F -4 3 m'
_symmetry_Int_Tables_number 216
_symmetry_space_group_name_Hall 'F -4 2 3'
_cell_length_a 6.513
_cell_length_b 6.513
_cell_length_c 6.513
_cell_angle_alpha 90.00
_cell_angle_beta 90.00
_cell_angle_gamma 90.00
loop_
_atom_site_label
_atom_site_fract_x
_atom_site_fract_y
_atom_site_fract_z
Ta1 0.000 0.000 0.000
In1 0.250 0.250 0.250
Ge1 0.250 0.250 0.750
```

Calculated values
total energy: -5.744 eV/atom


Entry 16:
## YTmIn2Pd4 (PBE)

Data for YTmIn2Pd4 after structural relaxation.

CIF file:
```
data_YTmIn2Pd4
_chemical_formula_sum 'Y1 Tm1 In2 Pd4'
_symmetry_space_group_name_H-M 'P -6 m 2'
_symmetry_Int_Tables_number 187
_symmetry_space_group_name_Hall 'P -6 2'
_cell_length_a 4.5783
_cell_length_b 4.5783
_cell_length_c 8.8856
_cell_angle_alpha 90.00
_cell_angle_beta 90.00
_cell_angle_gamma 120.00
loop_
_atom_site_label
_atom_site_fract_x
_atom_site_fract_y
_atom_site_fract_z
Y1 0.0000 0.0000 0.0000
Tm1 0.6667 0.3333 0.5000
In1 0.3333 0.6667 0.2520
Pd1 0.0000 0.0000 0.3400
Pd2 0.6667 0.3333 0.1651
```

Calculated values
total energy: -5.464 eV/atom


Entry 17:
## Gd2DyMg4In2 (PBE)

Data for Gd2DyMg4In2 after structural relaxation.

CIF file:
```
data_Gd2DyMg4In2
_chemical_formula_sum 'Gd4 Dy2 Mg8 In4'
_symmetry_space_group_name_H-M 'A m m 2'
_symmetry_Int_Tables_number 38
_symmetry_space_group_name_Hall 'A 2 -2'
_cell_length_a 4.674
_cell_length_b 13.142
_cell_length_c 7.630
_cell_angle_alpha 90.00
_cell_angle_beta 90.00
_cell_angle_gamma 90.00
loop_
_atom_site_label
_atom_site_fract_x
_atom_site_fract_y
_atom_site_fract_z
Gd1 0.000 0.217 0.000
Dy1 0.000 0.000 0.348
Mg1 0.000 0.000 0.781
Mg2 0.500 0.000 0.025
Mg3 0.500 0.122 0.661
In1 0.500 0.166 0.283
```

Calculated values
total energy: -3.133 eV/atom


Entry 18:
## Cs2ZnReS6 (PBE)

Data for Cs2ZnReS6 after structural relaxation.

CIF file:
```
data_Cs2ZnReS6
_chemical_formula_sum 'Cs8 Zn4 Re4 S24'
_symmetry_space_group_name_H-M 'F m -3 m'
_symmetry_Int_Tables_number 225
_symmetry_space_group_name_Hall '-F 4 2 3'
_cell_length_a 9.828
_cell_length_b 9.828
_cell_length_c 9.828
_cell_angle_alpha 90.00
_cell_angle_beta 90.00
_cell_angle_gamma 90.00
loop_
_atom_site_label
_atom_site_fract_x
_atom_site_fract_y
_atom_site_fract_z
Cs1 0.250 0.250 0.250
Zn1 0.000 0.000 0.000
Re1 0.000 0.000 0.500
S1 0.000 0.000 0.259
```

Calculated values
total energy: -4.292 eV/atom


Entry 19:
## MgScAl4Pd2 (PBE)

Data for MgScAl4Pd2 after structural relaxation.

CIF file:
```
data_MgScAl4Pd2
_chemical_formula_sum 'Mg2 Sc2 Al8 Pd4'
_symmetry_space_group_name_H-M 'A m m 2'
_symmetry_Int_Tables_number 38
_symmetry_space_group_name_Hall 'A 2 -2'
_cell_length_a 6.997
_cell_length_b 4.156
_cell_length_c 9.567
_cell_angle_alpha 90.00
_cell_angle_beta 90.00
_cell_angle_gamma 90.00
loop_
_atom_site_label
_atom_site_fract_x
_atom_site_fract_y
_atom_site_fract_z
Mg1 0.000 0.000 0.000
Sc1 0.500 0.000 0.141
Al1 0.198 0.000 0.712
Al2 0.302 0.000 0.431
Pd1 0.000 0.000 0.281
Pd2 0.500 0.000 0.858
```

Calculated values
total energy: -4.808 eV/atom


Entry 20:
## SmEr2Cu4Sn4 (PBE)

Data for SmEr2Cu4Sn4 after structural relaxation.

CIF file:
```
data_SmEr2Cu4Sn4
_chemical_formula_sum 'Sm2 Er4 Cu8 Sn8'
_symmetry_space_group_name_H-M 'I m m m'
_symmetry_Int_Tables_number 71
_symmetry_space_group_name_Hall '-I 2 2'
_cell_length_a 4.447
_cell_length_b 7.010
_cell_length_c 14.740
_cell_angle_alpha 90.00
_cell_angle_beta 90.00
_cell_angle_gamma 90.00
loop_
_atom_site_label
_atom_site_fract_x
_atom_site_fract_y
_atom_site_fract_z
Sm1 0.000 0.000 0.000
Er1 0.000 0.500 0.131
Cu1 0.000 0.313 0.330
Sn1 0.000 0.000 0.218
Sn2 0.000 0.199 0.500
```

Calculated values
total energy: -4.569 eV/atom